1.
VASP calculation (PBE-GGA) on crystalline VRuW2 at its relaxed geometry.

Computed properties:
V = 60.7 Å³ per cell
Energy of formation = 0.176 eV per atom
DOS(E_F) = 5.9 states/eV per cell
Final energy = -43.60 eV/cell
Energy above the most stable polymorph in this dataset = 169 meV per atom

Cell: 4.1828 3.8105 3.8105 Å, 90.00 90.00 90.00°
With the nearest neighbours (Å) after each atom.
Fractional positions:
Ru (0.5000, 0.0000, 0.0000)  4 V 2.69, 8 W 2.83
W (0.0000, 0.0000, 0.5000)  4 W 2.69, 4 Ru 2.83, 4 V 2.83
W (0.0000, 0.5000, 0.0000)  4 W 2.69, 4 Ru 2.83, 4 V 2.83
V (0.5000, 0.5000, 0.5000)  4 Ru 2.69, 8 W 2.83


2.
VASP calculation (PBE-GGA) on crystalline V4RuW3 at its relaxed geometry.

Computed properties:
V = 115.3 Å³ per cell
Energy of formation = -0.172 eV per atom
DOS(E_F) = 4.2 states/eV per cell
Final energy = -85.99 eV/cell

Cell: 3.0564 4.3425 8.6867 Å, 90.00 90.00 90.00°
With the nearest neighbours (Å) after each atom.
Fractional positions:
Ru (0.5000, 0.5000, 0.0000)  8 V 2.64-2.66
W (0.5000, 0.0000, 0.2473)  8 V 2.64-2.67
W (0.5000, 0.5000, 0.5000)  8 V 2.66-2.67
W (0.5000, 0.0000, 0.7527)  8 V 2.64-2.67
V (0.0000, 0.0000, 0.5000)  8 W 2.66-2.67
V (0.0000, 0.5000, 0.7527)  2 Ru 2.64, 6 W 2.66-2.67
V (0.0000, 0.0000, 0.0000)  4 W 2.64, 4 Ru 2.66
V (0.0000, 0.5000, 0.2473)  2 Ru 2.64, 6 W 2.66-2.67


3.
VASP calculation (PBE-GGA) on crystalline V4RuW at its relaxed geometry.

Computed properties:
V = 83.1 Å³ per cell
Energy of formation = -0.223 eV per atom
DOS(E_F) = 3.1 states/eV per cell
Final energy = -60.04 eV/cell
Energy above the most stable polymorph in this dataset = 0 meV per atom

Cell: 4.2673 4.2830 5.0234 Å, 90.00 115.13 90.00°
With the nearest neighbours (Å) after each atom.
Fractional positions:
V (0.3314, 0.0000, 0.6628)  4 V 2.60-2.61, 2 W 2.63, 2 Ru 2.63
V (0.6686, 0.0000, 0.3372)  4 V 2.60-2.61, 2 W 2.63, 2 Ru 2.63
V (0.8330, 0.5000, 0.6659)  4 V 2.61, 2 Ru 2.62, 2 W 2.63
V (0.1670, 0.5000, 0.3341)  4 V 2.61, 2 Ru 2.62, 2 W 2.63
Ru (0.5000, 0.5000, 0.0000)  8 V 2.62-2.63
W (0.0000, 0.0000, 0.0000)  8 V 2.63


4.
VASP calculation (PBE-GGA) on crystalline VRuW2 at its relaxed geometry.

Computed properties:
V = 59.8 Å³ per cell
Energy of formation = 0.059 eV per atom
DOS(E_F) = 4.8 states/eV per cell
Final energy = -44.07 eV/cell
Energy above the most stable polymorph in this dataset = 51 meV per atom

Cell: 4.3894 4.3894 4.3894 Å, 60.00 60.00 60.00°
With the nearest neighbours (Å) after each atom.
Fractional positions:
Ru (0.5000, 0.5000, 0.5000)  8 W 2.69
W (0.2500, 0.2500, 0.2500)  4 Ru 2.69, 4 V 2.69
W (0.7500, 0.7500, 0.7500)  4 V 2.69, 4 Ru 2.69
V (0.0000, 0.0000, 0.0000)  8 W 2.69


5.
VASP calculation (PBE-GGA) on crystalline VRuW2 at its relaxed geometry.

Computed properties:
V = 61.3 Å³ per cell
Energy of formation = 0.239 eV per atom
DOS(E_F) = 5.8 states/eV per cell
Final energy = -43.35 eV/cell
Energy above the most stable polymorph in this dataset = 231 meV per atom

Cell: 2.7772 2.7772 9.3201 Å, 81.43 81.43 60.00°
With the nearest neighbours (Å) after each atom.
Fractional positions:
Ru (0.0000, 0.0000, 0.0000)  6 W 2.74, 6 Ru 2.78
W (0.7475, 0.7475, 0.7576)  3 Ru 2.74, 6 W 2.78, 3 V 2.86
W (0.2525, 0.2525, 0.2424)  3 Ru 2.74, 6 W 2.78, 3 V 2.86
V (0.5000, 0.5000, 0.5000)  6 V 2.78, 6 W 2.86


6.
VASP calculation (PBE-GGA) on crystalline V6Ru2W at its relaxed geometry.

Computed properties:
V = 149.4 Å³ per cell
Energy of formation = 0.505 eV per atom
DOS(E_F) = 10.1 states/eV per cell
Final energy = -81.67 eV/cell
Energy above the most stable polymorph in this dataset = 665 meV per atom

Cell: 4.1427 5.8523 7.1331 Å, 114.22 106.94 90.00°
With the nearest neighbours (Å) after each atom.
Fractional positions:
V (0.1677, 0.4196, 0.3360)  3 Ru 2.51-2.53, 1 W 2.54
V (0.8323, 0.0837, 0.6640)  3 Ru 2.51-2.53, 1 W 2.54
V (0.8323, 0.5804, 0.6640)  3 Ru 2.51-2.53, 1 W 2.54
V (0.5000, 0.2545, 0.0000)  2 Ru 2.52, 2 W 2.55
V (0.1677, 0.9163, 0.3360)  3 Ru 2.51-2.53, 1 W 2.54
V (0.5000, 0.7455, 0.0000)  2 Ru 2.52, 2 W 2.55
Ru (0.6673, 0.6675, 0.3350)  8 V 2.51-2.53
Ru (0.3327, 0.3325, 0.6650)  8 V 2.51-2.53
W (0.0000, 0.0000, 0.0000)  8 V 2.54-2.55


7.
VASP calculation (PBE-GGA) on crystalline V7Ru2W2 at its relaxed geometry.

Computed properties:
V = 160.7 Å³ per cell
Energy of formation = 0.256 eV per atom
DOS(E_F) = 14.0 states/eV per cell
Final energy = -105.47 eV/cell

Cell: 5.0402 9.3319 6.4473 Å, 43.64 62.39 50.18°
With the nearest neighbours (Å) after each atom.
Fractional positions:
V (0.8193, 0.9371, 0.4872)  4 V 2.47-2.61, 1 Ru 2.49, 1 W 2.62
V (0.1807, 0.5757, 0.4872)  4 V 2.47-2.61, 1 Ru 2.49, 1 W 2.62
V (0.1807, 0.0629, 0.5128)  4 V 2.47-2.61, 1 Ru 2.49, 1 W 2.62
V (0.8193, 0.4243, 0.5128)  4 V 2.47-2.61, 1 Ru 2.49, 1 W 2.62
V (0.6506, 0.6665, 0.0000)  3 V 2.47-2.71, 3 W 2.51-2.65
V (0.0000, 0.0000, 0.0000)  6 V 2.53-2.71, 2 W 2.62
V (0.3494, 0.3335, 0.0000)  3 V 2.47-2.71, 3 W 2.51-2.65
Ru (0.5000, 0.1528, 0.6945)  2 V 2.49, 1 Ru 2.72
Ru (0.5000, 0.8472, 0.3055)  2 V 2.49, 1 Ru 2.72
W (0.8583, 0.3238, 0.0000)  8 V 2.51-2.79
W (0.1417, 0.6762, 0.0000)  8 V 2.51-2.79


8.
VASP calculation (PBE-GGA) on crystalline V5Ru2W at its relaxed geometry.

Computed properties:
V = 110.5 Å³ per cell
Energy of formation = -0.260 eV per atom
DOS(E_F) = 5.1 states/eV per cell
Final energy = -79.18 eV/cell

Cell: 4.2636 4.2636 6.7858 Å, 108.31 108.31 90.00°
With the nearest neighbours (Å) after each atom.
Fractional positions:
V (0.5000, 0.5000, 0.0000)  8 V 2.61
V (0.8762, 0.3762, 0.7523)  2 V 2.61, 2 W 2.61, 4 Ru 2.62-2.63
V (0.3762, 0.8762, 0.7523)  2 W 2.61, 2 V 2.61, 4 Ru 2.62-2.63
V (0.1238, 0.6238, 0.2477)  2 V 2.61, 2 W 2.61, 4 Ru 2.62-2.63
V (0.6238, 0.1238, 0.2477)  2 W 2.61, 2 V 2.61, 4 Ru 2.62-2.63
Ru (0.7491, 0.7491, 0.4981)  8 V 2.62-2.63
Ru (0.2509, 0.2509, 0.5019)  8 V 2.62-2.63
W (0.0000, 0.0000, 0.0000)  8 V 2.61


9.
VASP calculation (PBE-GGA) on crystalline V4Ru2W3 at its relaxed geometry.

Computed properties:
V = 129.7 Å³ per cell
Energy of formation = -0.167 eV per atom
DOS(E_F) = 4.4 states/eV per cell
Final energy = -95.39 eV/cell

Cell: 4.3338 4.3338 7.9721 Å, 90.00 90.00 60.00°
With the nearest neighbours (Å) after each atom.
Fractional positions:
V (0.6666, 0.6667, 0.8932)  4 Ru 2.59-2.66, 4 W 2.64-2.68
V (0.0001, 0.9999, 0.3309)  4 W 2.64-2.66, 3 Ru 2.66, 1 V 2.70
V (0.9999, 0.0001, 0.6691)  4 W 2.64-2.66, 3 Ru 2.66, 1 V 2.70
V (0.3334, 0.3333, 0.1068)  4 Ru 2.59-2.66, 4 W 2.64-2.68
Ru (0.3333, 0.3335, 0.7820)  7 V 2.59-2.66, 1 W 2.71
Ru (0.6667, 0.6665, 0.2180)  7 V 2.59-2.66, 1 W 2.71
W (0.3334, 0.3333, 0.4424)  4 V 2.66-2.68, 3 W 2.66-2.67, 1 Ru 2.71
W (0.0000, 0.0000, 0.0000)  8 V 2.64
W (0.6666, 0.6667, 0.5576)  4 V 2.66-2.68, 3 W 2.66-2.67, 1 Ru 2.71


10.
VASP calculation (PBE-GGA) on crystalline VZnRuW at its relaxed geometry.

Computed properties:
V = 58.2 Å³ per cell
Energy of formation = 0.026 eV per atom
DOS(E_F) = 2.5 states/eV per cell
Final energy = -32.52 eV/cell

Cell: 4.3491 4.3491 4.3491 Å, 60.00 60.00 60.00°
With the nearest neighbours (Å) after each atom.
Fractional positions:
Ru (0.2500, 0.2500, 0.2500)  4 W 2.66, 4 Zn 2.66
Zn (0.0000, 0.0000, 0.0000)  4 Ru 2.66, 4 V 2.66
W (0.5000, 0.5000, 0.5000)  4 V 2.66, 4 Ru 2.66
V (0.7500, 0.7500, 0.7500)  4 W 2.66, 4 Zn 2.66


11.
VASP calculation (PBE-GGA) on crystalline YVRu3 at its relaxed geometry.

Computed properties:
V = 92.2 Å³ per cell
Energy of formation = 0.293 eV per atom
DOS(E_F) = 3.1 states/eV per cell
Final energy = -41.94 eV/cell
Energy above the most stable polymorph in this dataset = 0 meV per atom

Cell: 4.5179 4.5179 4.5179 Å, 90.00 90.00 90.00°
With the nearest neighbours (Å) after each atom.
Fractional positions:
Y (0.5000, 0.5000, 0.5000)  12 Ru 3.19
Ru (0.0000, 0.5000, 0.0000)  2 V 2.26
Ru (0.0000, 0.0000, 0.5000)  2 V 2.26
Ru (0.5000, 0.0000, 0.0000)  2 V 2.26
V (0.0000, 0.0000, 0.0000)  6 Ru 2.26


12.
VASP calculation (PBE-GGA) on crystalline YVRu2 at its relaxed geometry.

Computed properties:
V = 146.4 Å³ per cell
Energy of formation = 0.135 eV per atom
DOS(E_F) = 5.4 states/eV per cell
Final energy = -67.19 eV/cell

Cell: 7.0410 7.0410 5.7890 Å, 52.55 52.55 90.00°
With the nearest neighbours (Å) after each atom.
Fractional positions:
Y (0.0000, 0.0000, 0.0000)  8 Ru 2.89-3.14, 2 V 2.95
Y (0.7500, 0.2500, 0.5000)  8 Ru 2.89-3.14, 2 V 2.95
Ru (0.5673, 0.1250, 0.2500)  2 V 2.34
Ru (0.1827, 0.6250, 0.2500)  2 V 2.34
Ru (0.3750, 0.4327, 0.7500)  2 V 2.34
Ru (0.8750, 0.8173, 0.7500)  2 V 2.34
V (0.5000, 0.5000, 0.0000)  4 Ru 2.34
V (0.2500, 0.7500, 0.5000)  4 Ru 2.34


Please write out number 5 again, unchanged.
VASP calculation (PBE-GGA) on crystalline VRuW2 at its relaxed geometry.

Computed properties:
V = 61.3 Å³ per cell
Energy of formation = 0.239 eV per atom
DOS(E_F) = 5.8 states/eV per cell
Final energy = -43.35 eV/cell
Energy above the most stable polymorph in this dataset = 231 meV per atom

Cell: 2.7772 2.7772 9.3201 Å, 81.43 81.43 60.00°
With the nearest neighbours (Å) after each atom.
Fractional positions:
Ru (0.0000, 0.0000, 0.0000)  6 W 2.74, 6 Ru 2.78
W (0.7475, 0.7475, 0.7576)  3 Ru 2.74, 6 W 2.78, 3 V 2.86
W (0.2525, 0.2525, 0.2424)  3 Ru 2.74, 6 W 2.78, 3 V 2.86
V (0.5000, 0.5000, 0.5000)  6 V 2.78, 6 W 2.86